Run P
First-principles (GGA-PBE) data for a relaxed structure of RbMg6AlO8, as listed in Alexandria via LeMat-Bulk.

```
data_RbMg6AlO8
_cell_length_a 4.535
_cell_length_b 4.535
_cell_length_c 8.686
_cell_angle_alpha 90.00
_cell_angle_beta 90.00
_cell_angle_gamma 90.00
_symmetry_space_group_name_H-M 'P 4/m m m'
_symmetry_Int_Tables_number 123
_symmetry_space_group_name_Hall '-P 4 2'
loop_
_atom_site_label
_atom_site_fract_x
_atom_site_fract_y
_atom_site_fract_z
Rb1 0.000 0.000 0.000
Mg1 0.000 0.000 0.500
Mg2 0.000 0.500 0.251
Mg3 0.500 0.500 0.500
Al1 0.500 0.500 0.000
O1 0.000 0.000 0.281
O2 0.000 0.500 0.000
O3 0.000 0.500 0.500
O4 0.500 0.500 0.222
```

Run Q
First-principles (GGA-PBE) data for a relaxed structure of RbMg6AlO8, as listed in Alexandria via LeMat-Bulk.

```
data_RbMg6AlO8
_cell_length_a 4.609
_cell_length_b 4.609
_cell_length_c 8.461
_cell_angle_alpha 90.00
_cell_angle_beta 90.00
_cell_angle_gamma 90.00
_symmetry_space_group_name_H-M 'P 4/m m m'
_symmetry_Int_Tables_number 123
_symmetry_space_group_name_Hall '-P 4 2'
loop_
_atom_site_label
_atom_site_fract_x
_atom_site_fract_y
_atom_site_fract_z
Rb1 0.000 0.000 0.000
Mg1 0.000 0.500 0.248
Mg2 0.500 0.500 0.000
Mg3 0.500 0.500 0.500
Al1 0.000 0.000 0.500
O1 0.000 0.000 0.295
O2 0.000 0.500 0.000
O3 0.000 0.500 0.500
O4 0.500 0.500 0.254
```

It comes down to run Q, which is 8.6 kJ/mol of atoms more stable than the next structure.